Entry 1:
Here is Sn2TeRuO at its PBEsol-relaxed geometry from Alexandria via LeMat-Bulk. Energies are from meta-GGA SCAN.

Cell and atoms, written as CIF:
```
data_Sn2TeRuO
_symmetry_space_group_name_H-M 'P 4/m m m'
_symmetry_Int_Tables_number 123
_symmetry_space_group_name_Hall '-P 4 2'
_cell_length_a 5.340
_cell_length_b 5.340
_cell_length_c 3.718
_cell_angle_alpha 90.00
_cell_angle_beta 90.00
_cell_angle_gamma 90.00
loop_
_atom_site_label
_atom_site_type_symbol
_atom_site_fract_x
_atom_site_fract_y
_atom_site_fract_z
Sn1 Sn 0.000 0.500 0.000
Te1 Te 0.000 0.000 0.500
Ru1 Ru 0.500 0.500 0.000
O1 O 0.500 0.500 0.500
```

Calculated values
- formation energy from raw total energies (kcal/mol of atoms) = -6.65
- DFT total energy (eV per atom) = -30.32
- magnetization (μB per formula unit) = 0.0

Entry 2:
Here is HfTcF2 at its PBEsol-relaxed geometry from Alexandria via LeMat-Bulk. Energies are from meta-GGA SCAN.

Cell and atoms, written as CIF:
```
data_HfTcF2
_symmetry_space_group_name_H-M 'R -3 m'
_symmetry_Int_Tables_number 166
_symmetry_space_group_name_Hall '-R 3 2"'
_cell_length_a 3.9480
_cell_length_b 3.9480
_cell_length_c 12.0926
_cell_angle_alpha 90.00
_cell_angle_beta 90.00
_cell_angle_gamma 120.00
loop_
_atom_site_label
_atom_site_type_symbol
_atom_site_fract_x
_atom_site_fract_y
_atom_site_fract_z
Hf1 Hf 0.0000 0.0000 0.0000
Tc1 Tc 0.0000 0.0000 0.5000
F1 F 0.0000 0.0000 0.1719
```

Calculated values
- formation energy from raw total energies (kcal/mol of atoms) = -19.21
- DFT total energy (eV per atom) = -27.04
- magnetization (μB per formula unit) = 0.0